Crystalline K4TlSb at its relaxed geometry. Source: Alexandria, functional PBE.

* E_tot: -10.04 eV/f.u.

Cell: 10.121 10.121 10.121 Å, 90.00 90.00 90.00°
Space group F-43m (No. 216)
Symmetry-distinct sites (fractional):
K: 0.124 0.124 0.124 [16 per cell]
Tl: 0.000 0.000 0.500 [4 per cell]
Sb: 0.250 0.250 0.750 [4 per cell]

Crystalline KTl6Sb2 at its relaxed geometry. Source: Alexandria, functional PBE.

* E_tot: -24.30 eV/f.u.

Cell: 5.108 5.108 11.686 Å, 90.00 90.00 90.00°
Space group P4/mmm (No. 123)
Symmetry-distinct sites (fractional):
K: 0.000 0.000 0.000 [1 per cell]
Tl: 0.000 0.000 0.500 [1 per cell]
Tl: 0.000 0.500 0.291 [4 per cell]
Tl: 0.500 0.500 0.500 [1 per cell]
Sb: 0.500 0.500 0.124 [2 per cell]

Crystalline K2Tl5Sb3 at its relaxed geometry. Source: Alexandria, functional PBE.

* E_tot: -27.67 eV/f.u.

Cell: 13.390 15.806 7.038 Å, 90.00 90.00 90.00°
Space group Ibam (No. 72)
Symmetry-distinct sites (fractional):
K: 0.244 0.109 0.000 [8 per cell]
Tl: 0.000 0.265 0.250 [8 per cell]
Tl: 0.000 0.500 0.250 [4 per cell]
Tl: 0.126 0.127 0.500 [8 per cell]
Sb: 0.000 0.000 0.250 [4 per cell]
Sb: 0.139 0.386 0.000 [8 per cell]

Crystalline K2TlSb2 at its relaxed geometry. Source: Alexandria, functional PBE.

* relative energy among the computed polymorphs: 21.40 kJ per mole of atoms
* E_tot: -13.31 eV/f.u.

Cell: 10.534 10.534 3.281 Å, 90.00 90.00 90.00°
Space group P4/mbm (No. 127)
Symmetry-distinct sites (fractional):
K: 0.123 0.377 0.000 [4 per cell]
Tl: 0.000 0.000 0.000 [2 per cell]
Sb: 0.175 0.675 0.500 [4 per cell]

Crystalline K3Tl4Sb2 at its relaxed geometry. Source: Alexandria, functional PBE.

* relative energy among the computed polymorphs: 1.49 kJ per mole of atoms
* E_tot: -22.93 eV/f.u.

Cell: 12.943 13.235 8.929 Å, 90.00 113.99 90.00°
Space group C2/c (No. 15)
Symmetry-distinct sites (fractional):
K: 0.000 0.109 0.250 [4 per cell]
K: 0.162 0.408 0.544 [8 per cell]
Tl: 0.110 0.154 0.670 [8 per cell]
Tl: 0.121 0.319 0.022 [8 per cell]
Sb: 0.165 0.088 0.026 [8 per cell]

Crystalline KTl3Sb2 at its relaxed geometry. Source: Alexandria, functional PBE.

* relative energy among the computed polymorphs: 4.89 kJ per mole of atoms
* E_tot: -16.99 eV/f.u.

Cell: 12.313 10.643 6.310 Å, 90.00 90.00 90.00°
Space group Cmcm (No. 63)
Symmetry-distinct sites (fractional):
K: 0.000 0.126 0.250 [4 per cell]
Tl: 0.000 0.461 0.250 [4 per cell]
Tl: 0.147 0.256 0.750 [8 per cell]
Sb: 0.242 0.000 0.000 [8 per cell]

Crystalline K2TlSb at its relaxed geometry. Source: Alexandria, functional PBE.

* E_tot: -9.83 eV/f.u.

Cell: 12.648 5.621 9.953 Å, 90.00 117.44 90.00°
Space group Cm (No. 8)
Symmetry-distinct sites (fractional):
K: 0.000 0.000 0.000 [2 per cell]
K: 0.001 0.000 0.496 [2 per cell]
K: 0.128 0.500 0.343 [2 per cell]
K: 0.375 0.000 0.650 [2 per cell]
Tl: 0.178 0.500 0.034 [2 per cell]
Tl: 0.322 0.000 0.955 [2 per cell]
Sb: 0.198 0.500 0.734 [2 per cell]
Sb: 0.304 0.000 0.257 [2 per cell]

Crystalline K2TlSb2 at its relaxed geometry. Source: Alexandria, functional PBE.

* relative energy among the computed polymorphs: 0.00 kJ per mole of atoms
* E_tot: -14.42 eV/f.u.

Cell: 12.537 5.712 12.057 Å, 90.00 119.40 90.00°
Space group C2/m (No. 12)
Symmetry-distinct sites (fractional):
K: 0.004 0.000 0.184 [4 per cell]
K: 0.180 0.000 0.596 [4 per cell]
Tl: 0.224 0.500 0.860 [4 per cell]
Sb: 0.022 0.500 0.394 [4 per cell]
Sb: 0.130 0.500 0.062 [4 per cell]